Record 1
Entry from the Alexandria database: crystalline Cd4In3Hg2 at its relaxed geometry (PBE).

Output
ΔE_f in eV/atom: 0.04
Energy relative to the lowest polymorph listed for this composition in eV per atom: 0.010

Geometry as POSCAR:
```
Cd4In3Hg2
1.0
5.008 0.045 0.138
2.520 5.278 0.329
2.762 2.488 8.954
Cd In Hg
4 3 2
Direct
0.330 0.305 0.041
0.077 0.565 0.327
0.923 0.435 0.673
0.670 0.695 0.959
0.000 0.000 0.000
0.391 0.872 0.381
0.609 0.128 0.619
0.751 0.269 0.274
0.249 0.731 0.726
```

=====

Record 2
Entry from the Alexandria database: crystalline Cd5In5Hg at its relaxed geometry (PBE).

Output
ΔE_f in eV/atom: 0.07

Geometry as POSCAR:
```
Cd5In5Hg
1.0
-5.219 -2.169 0.716
3.643 0.161 4.377
-3.583 9.491 2.633
Cd In Hg
5 5 1
Direct
0.000 0.000 0.263
0.340 0.170 0.500
0.830 0.660 0.500
0.830 0.170 0.500
0.000 0.000 0.737
0.333 0.667 0.686
0.667 0.333 0.837
0.333 0.667 0.314
0.667 0.333 0.163
0.000 0.000 0.000
0.333 0.667 0.000
```

=====

Record 3
Entry from the Alexandria database: crystalline Cd3In3Hg5 at its relaxed geometry (PBE).

Output
ΔE_f in eV/atom: 0.20
Energy relative to the lowest polymorph listed for this composition in eV per atom: 0.157

Geometry as POSCAR:
```
Cd3In3Hg5
1.0
-3.380 -4.582 1.101
6.609 -3.586 5.367
-6.387 5.588 3.649
Hg Cd In
5 3 3
Direct
0.500 0.333 0.667
0.500 0.000 0.765
0.500 0.765 0.000
0.500 0.235 0.235
0.500 0.667 0.333
0.000 0.648 0.648
0.000 0.352 0.000
0.000 0.000 0.352
0.500 0.000 0.368
0.500 0.632 0.632
0.500 0.368 0.000
```

=====

Record 4
Entry from the Alexandria database: crystalline Cd2In5Hg6 at its relaxed geometry (PBE).

Output
ΔE_f in eV/atom: 0.03

Geometry as POSCAR:
```
Cd2In5Hg6
1.0
8.719 2.007 0.862
5.197 7.284 0.862
-0.980 -0.654 12.940
Cd In Hg
4 10 12
Direct
0.374 0.036 0.590
0.626 0.964 0.410
0.036 0.374 0.090
0.964 0.626 0.910
0.881 0.809 0.666
0.460 0.540 0.750
0.809 0.881 0.166
0.191 0.119 0.834
0.276 0.602 0.038
0.398 0.724 0.462
0.602 0.276 0.538
0.119 0.191 0.334
0.540 0.460 0.250
0.724 0.398 0.962
0.049 0.020 0.638
0.353 0.298 0.740
0.951 0.980 0.362
0.539 0.137 0.964
0.980 0.951 0.862
0.863 0.461 0.536
0.647 0.702 0.260
0.020 0.049 0.138
0.137 0.539 0.464
0.702 0.647 0.760
0.298 0.353 0.240
0.461 0.863 0.036
```

=====

Record 5
Entry from the Alexandria database: crystalline CdInHg5 at its relaxed geometry (PBE).

Output
ΔE_f in eV/atom: 0.03
Energy relative to the lowest polymorph listed for this composition in eV per atom: 0.000

Geometry as POSCAR:
```
CdInHg5
1.0
4.735 0.000 0.000
0.000 4.735 0.000
0.000 0.000 8.594
Cd Hg In
1 5 1
Direct
0.000 0.000 0.500
0.000 0.500 0.277
0.000 0.500 0.723
0.500 0.500 0.000
0.500 0.000 0.277
0.500 0.000 0.723
0.000 0.000 0.000
```

=====

Record 6
Entry from the Alexandria database: crystalline CdIn2Hg at its relaxed geometry (PBE).

Output
ΔE_f in eV/atom: 0.03
Energy relative to the lowest polymorph listed for this composition in eV per atom: 0.024

Geometry as POSCAR:
```
CdIn2Hg
1.0
3.442 -0.531 -0.013
-2.295 4.085 0.000
0.002 0.002 8.139
In Cd Hg
2 1 1
Direct
0.951 0.980 0.752
0.049 0.020 0.248
0.000 0.500 0.000
0.000 0.500 0.500
```

=====

no.,calculated volume (Å³/cell)
1,230.5
2,294.6
3,428.5
4,693.3
5,192.7
6,104.5